Record 1
# Zr2Co2N | the Alexandria database | GGA-PBE | relaxed
data_Zr2Co2N
_space_group_name_H-M_alt 'P 4/m b m'
_space_group_IT_number 127
_space_group_name_Hall '-P 4 2ab'
_cell_length_a 6.097
_cell_length_b 6.097
_cell_length_c 4.269
_cell_angle_alpha 90.00
_cell_angle_beta 90.00
_cell_angle_gamma 90.00
loop_
_atom_site_label
_atom_site_fract_x
_atom_site_fract_y
_atom_site_fract_z
_atom_site_occupancy
Zr1 0.182 0.318 0.000 1
Co1 0.125 0.625 0.500 1
N1 0.000 0.000 0.000 1
# **E_form (uncorrected)**: -8 kJ/mol of atoms

***

Record 2
# Rb3Hg9Pd2 | the Alexandria database | GGA-PBE | relaxed
data_Rb3Hg9Pd2
_space_group_name_H-M_alt 'R -3 c'
_space_group_IT_number 167
_space_group_name_Hall '-R 3 2"c'
_cell_length_a 12.5250
_cell_length_b 12.5250
_cell_length_c 18.7982
_cell_angle_alpha 90.00
_cell_angle_beta 90.00
_cell_angle_gamma 120.00
loop_
_atom_site_label
_atom_site_fract_x
_atom_site_fract_y
_atom_site_fract_z
_atom_site_occupancy
Rb1 0.0000 0.3205 0.2500 1
Hg1 0.0000 0.1988 0.7500 1
Hg2 0.0048 0.1685 0.0751 1
Pd1 0.0000 0.0000 0.1763 1
# **ΔE_f**: -204 meV/atom

***

Record 3
# As2PPt | the Alexandria database | GGA-PBE | relaxed
data_As2PPt
_space_group_name_H-M_alt 'I -4 2 d'
_space_group_IT_number 122
_space_group_name_Hall 'I -4 2bw'
_cell_length_a 5.681
_cell_length_b 5.681
_cell_length_c 11.083
_cell_angle_alpha 90.00
_cell_angle_beta 90.00
_cell_angle_gamma 90.00
loop_
_atom_site_label
_atom_site_fract_x
_atom_site_fract_y
_atom_site_fract_z
_atom_site_occupancy
As1 0.247 0.250 0.125 1
P1 0.000 0.000 0.500 1
Pt1 0.000 0.000 0.000 1
# **ΔE_f**: -25 meV/atom

***

Record 4
# SmZrBeN3 | the Alexandria database | GGA-PBE | relaxed
data_SmZrBeN3
_space_group_name_H-M_alt 'P 1 21/m 1'
_space_group_IT_number 11
_space_group_name_Hall '-P 2yb'
_cell_length_a 6.840
_cell_length_b 3.250
_cell_length_c 6.945
_cell_angle_alpha 90.00
_cell_angle_beta 102.43
_cell_angle_gamma 90.00
loop_
_atom_site_label
_atom_site_fract_x
_atom_site_fract_y
_atom_site_fract_z
_atom_site_occupancy
Sm1 0.221 0.250 0.183 1
Zr1 0.173 0.250 0.660 1
Be1 0.402 0.750 0.921 1
N1 0.146 0.750 0.876 1
N2 0.165 0.750 0.433 1
N3 0.487 0.250 0.834 1
# **E_form (uncorrected)**: -133 kJ/mol of atoms

***

Record 5
# CdTcH | the Alexandria database | GGA-PBE | relaxed
data_CdTcH
_space_group_name_H-M_alt 'P -1'
_space_group_IT_number 2
_space_group_name_Hall '-P 1'
_cell_length_a 3.162
_cell_length_b 4.788
_cell_length_c 5.716
_cell_angle_alpha 89.10
_cell_angle_beta 74.13
_cell_angle_gamma 70.86
loop_
_atom_site_label
_atom_site_fract_x
_atom_site_fract_y
_atom_site_fract_z
_atom_site_occupancy
Cd1 0.212 0.208 0.371 1
Tc1 0.086 0.750 0.080 1
H1 0.368 0.424 0.840 1
# **DFT total energy**: -28.1 eV per cell

***

Record 6
# Sr3In2Ag4 | the Alexandria database | GGA-PBE | relaxed
data_Sr3In2Ag4
_space_group_name_H-M_alt 'C 1 2/m 1'
_space_group_IT_number 12
_space_group_name_Hall '-C 2y'
_cell_length_a 11.782
_cell_length_b 4.943
_cell_length_c 9.420
_cell_angle_alpha 90.00
_cell_angle_beta 112.08
_cell_angle_gamma 90.00
loop_
_atom_site_label
_atom_site_fract_x
_atom_site_fract_y
_atom_site_fract_z
_atom_site_occupancy
Sr1 0.000 0.000 0.000 1
Sr2 0.141 0.500 0.692 1
In1 0.157 0.500 0.325 1
Ag1 0.089 0.000 0.422 1
Ag2 0.226 0.500 0.065 1
# **ΔE_f**: -323 meV/atom

***

Record 7
# KZrTa2 | the Alexandria database | GGA-PBE | relaxed
data_KZrTa2
_space_group_name_H-M_alt 'I m m m'
_space_group_IT_number 71
_space_group_name_Hall '-I 2 2'
_cell_length_a 2.927
_cell_length_b 5.626
_cell_length_c 11.242
_cell_angle_alpha 90.00
_cell_angle_beta 90.00
_cell_angle_gamma 90.00
loop_
_atom_site_label
_atom_site_fract_x
_atom_site_fract_y
_atom_site_fract_z
_atom_site_occupancy
K1 0.000 0.000 0.000 1
Zr1 0.000 0.000 0.500 1
Ta1 0.000 0.500 0.224 1
# **ΔE_f**: 1124 meV/atom

***

Record 8
# PmAgRu2O8 | the Alexandria database | GGA-PBE | relaxed
data_PmAgRu2O8
_space_group_name_H-M_alt 'P -3'
_space_group_IT_number 147
_space_group_name_Hall '-P 3'
_cell_length_a 6.0679
_cell_length_b 6.0679
_cell_length_c 6.7261
_cell_angle_alpha 90.00
_cell_angle_beta 90.00
_cell_angle_gamma 120.00
loop_
_atom_site_label
_atom_site_fract_x
_atom_site_fract_y
_atom_site_fract_z
_atom_site_occupancy
Pm1 0.0000 0.0000 0.0000 1
Ag1 0.0000 0.0000 0.5000 1
Ru1 0.3333 0.6667 0.3114 1
O1 0.1691 0.8290 0.2229 1
O2 0.3333 0.6667 0.5698 1
# **E_form (uncorrected)**: -110 kJ/mol of atoms

***

Record 9
# HoCrGa2 | the Alexandria database | GGA-PBE | relaxed
data_HoCrGa2
_space_group_name_H-M_alt 'R -3 m'
_space_group_IT_number 166
_space_group_name_Hall '-R 3 2"'
_cell_length_a 3.3935
_cell_length_b 3.3935
_cell_length_c 24.3092
_cell_angle_alpha 90.00
_cell_angle_beta 90.00
_cell_angle_gamma 120.00
loop_
_atom_site_label
_atom_site_fract_x
_atom_site_fract_y
_atom_site_fract_z
_atom_site_occupancy
Ho1 0.0000 0.0000 0.0000 1
Cr1 0.0000 0.0000 0.5000 1
Ga1 0.0000 0.0000 0.2389 1
# **ΔE_f**: 34 meV/atom

***

Record 10
# TaIn2P | the Alexandria database | GGA-PBE | relaxed
data_TaIn2P
_space_group_name_H-M_alt 'A m m 2'
_space_group_IT_number 38
_space_group_name_Hall 'A 2 -2'
_cell_length_a 3.632
_cell_length_b 4.215
_cell_length_c 10.864
_cell_angle_alpha 90.00
_cell_angle_beta 90.00
_cell_angle_gamma 90.00
loop_
_atom_site_label
_atom_site_fract_x
_atom_site_fract_y
_atom_site_fract_z
_atom_site_occupancy
Ta1 0.000 0.000 0.000 1
In1 0.000 0.000 0.723 1
In2 0.500 0.000 0.405 1
P1 0.500 0.000 0.152 1
# **ΔE_f**: 17 meV/atom

***

Record 11
# LiCeLuMn | the Alexandria database | GGA-PBE | relaxed
data_LiCeLuMn
_space_group_name_H-M_alt 'F -4 3 m'
_space_group_IT_number 216
_space_group_name_Hall 'F -4 2 3'
_cell_length_a 6.955
_cell_length_b 6.955
_cell_length_c 6.955
_cell_angle_alpha 90.00
_cell_angle_beta 90.00
_cell_angle_gamma 90.00
loop_
_atom_site_label
_atom_site_fract_x
_atom_site_fract_y
_atom_site_fract_z
_atom_site_occupancy
Li1 0.000 0.000 0.000 1
Ce1 0.250 0.250 0.250 1
Lu1 0.250 0.250 0.750 1
Mn1 0.000 0.000 0.500 1
# **ΔE_f**: 122 meV/atom

***

Record 12
# La4SbRhI2 | the Alexandria database | GGA-PBE | relaxed
data_La4SbRhI2
_space_group_name_H-M_alt 'P 1 2/m 1'
_space_group_IT_number 10
_space_group_name_Hall '-P 2y'
_cell_length_a 8.078
_cell_length_b 4.325
_cell_length_c 8.260
_cell_angle_alpha 90.00
_cell_angle_beta 106.45
_cell_angle_gamma 90.00
loop_
_atom_site_label
_atom_site_fract_x
_atom_site_fract_y
_atom_site_fract_z
_atom_site_occupancy
La1 0.203 0.000 0.191 1
La2 0.240 0.500 0.792 1
Sb1 0.500 0.000 0.000 1
Rh1 0.000 0.500 0.000 1
I1 0.000 0.000 0.500 1
I2 0.500 0.500 0.500 1
# **E_form (uncorrected)**: -103 kJ/mol of atoms

***

Record 13
# Ga2Hg2Cl7 | the Alexandria database | GGA-PBE | relaxed
data_Ga2Hg2Cl7
_space_group_name_H-M_alt 'C 1 m 1'
_space_group_IT_number 8
_space_group_name_Hall 'C -2y'
_cell_length_a 11.374
_cell_length_b 8.672
_cell_length_c 9.033
_cell_angle_alpha 90.00
_cell_angle_beta 104.11
_cell_angle_gamma 90.00
loop_
_atom_site_label
_atom_site_fract_x
_atom_site_fract_y
_atom_site_fract_z
_atom_site_occupancy
Ga1 0.000 0.000 0.000 1
Ga2 0.208 0.500 0.594 1
Hg1 0.397 0.163 0.235 1
Cl1 0.086 0.500 0.740 1
Cl2 0.103 0.213 0.037 1
Cl3 0.206 0.290 0.460 1
Cl4 0.369 0.500 0.149 1
Cl5 0.415 0.500 0.741 1
# **E_form (uncorrected)**: -83 kJ/mol of atoms

***

Record 14
# Ca2MnCo | the Alexandria database | GGA-PBE | relaxed
data_Ca2MnCo
_space_group_name_H-M_alt 'I -4 m 2'
_space_group_IT_number 119
_space_group_name_Hall 'I -4 -2'
_cell_length_a 4.457
_cell_length_b 4.457
_cell_length_c 8.745
_cell_angle_alpha 90.00
_cell_angle_beta 90.00
_cell_angle_gamma 90.00
loop_
_atom_site_label
_atom_site_fract_x
_atom_site_fract_y
_atom_site_fract_z
_atom_site_occupancy
Ca1 0.000 0.000 0.000 1
Ca2 0.000 0.500 0.250 1
Mn1 0.000 0.000 0.500 1
Co1 0.000 0.500 0.750 1
# **ΔE_f**: 541 meV/atom

***

Record 15
# Ca2ZrCd | the Alexandria database | GGA-PBE | relaxed
data_Ca2ZrCd
_space_group_name_H-M_alt 'F -4 3 m'
_space_group_IT_number 216
_space_group_name_Hall 'F -4 2 3'
_cell_length_a 7.642
_cell_length_b 7.642
_cell_length_c 7.642
_cell_angle_alpha 90.00
_cell_angle_beta 90.00
_cell_angle_gamma 90.00
loop_
_atom_site_label
_atom_site_fract_x
_atom_site_fract_y
_atom_site_fract_z
_atom_site_occupancy
Ca1 0.000 0.000 0.000 1
Ca2 0.250 0.250 0.250 1
Zr1 0.000 0.000 0.500 1
Cd1 0.250 0.250 0.750 1
# **ΔE_f**: 225 meV/atom

***

Record 16
# KMgFe2 | the Alexandria database | GGA-PBE | relaxed
data_KMgFe2
_space_group_name_H-M_alt 'I 41/a m d'
_space_group_IT_number 141
_cell_length_a 4.682
_cell_length_b 4.682
_cell_length_c 19.672
_cell_angle_alpha 90.00
_cell_angle_beta 90.00
_cell_angle_gamma 90.00
loop_
_space_group_symop_operation_xyz
'x,y,z'
'-x,-y,-z'
'-y+1/4,x+3/4,z+1/4'
'y+1/4,-x+3/4,-z+1/4'
'-x+1/2,-y,z+1/2'
'x+1/2,y,-z+1/2'
'y+1/4,-x+1/4,z+3/4'
'-y+1/4,x+1/4,-z+3/4'
'x,-y,-z'
'-x,y,z'
'-y+1/4,-x+1/4,-z+3/4'
'y+1/4,x+1/4,z+3/4'
'-x+1/2,y,-z+1/2'
'x+1/2,-y,z+1/2'
'y+1/4,x+3/4,-z+1/4'
'-y+1/4,-x+3/4,z+1/4'
'x+1/2,y+1/2,z+1/2'
'-x+1/2,-y+1/2,-z+1/2'
'-y+3/4,x+1/4,z+3/4'
'y+3/4,-x+1/4,-z+3/4'
'-x,-y+1/2,z'
'x,y+1/2,-z'
'y+3/4,-x+3/4,z+1/4'
'-y+3/4,x+3/4,-z+1/4'
'x+1/2,-y+1/2,-z+1/2'
'-x+1/2,y+1/2,z+1/2'
'-y+3/4,-x+3/4,-z+1/4'
'y+3/4,x+3/4,z+1/4'
'-x,y+1/2,-z'
'x,-y+1/2,z'
'y+3/4,x+1/4,-z+3/4'
'-y+3/4,-x+1/4,z+3/4'
loop_
_atom_site_label
_atom_site_fract_x
_atom_site_fract_y
_atom_site_fract_z
_atom_site_occupancy
K1 0.000 0.250 0.375 1
Mg1 0.000 0.250 0.875 1
Fe1 0.000 0.000 0.000 1
# **ΔE_f**: 1032 meV/atom

***

Record 17
# Pr2Tl2Pb | the Alexandria database | GGA-PBE | relaxed
data_Pr2Tl2Pb
_space_group_name_H-M_alt 'C 1 2/c 1'
_space_group_IT_number 15
_space_group_name_Hall '-C 2yc'
_cell_length_a 11.072
_cell_length_b 7.274
_cell_length_c 8.179
_cell_angle_alpha 90.00
_cell_angle_beta 110.21
_cell_angle_gamma 90.00
loop_
_atom_site_label
_atom_site_fract_x
_atom_site_fract_y
_atom_site_fract_z
_atom_site_occupancy
Pr1 0.176 0.132 0.162 1
Tl1 0.105 0.395 0.446 1
Pb1 0.000 0.187 0.750 1
# **ΔE_f**: -366 meV/atom

***

Record 18
# Al3Cr | the Alexandria database | GGA-PBE | relaxed
data_Al3Cr
_space_group_name_H-M_alt 'P m m n'
_space_group_IT_number 59
_cell_length_a 5.302
_cell_length_b 13.378
_cell_length_c 4.843
_cell_angle_alpha 90.00
_cell_angle_beta 90.00
_cell_angle_gamma 90.00
loop_
_space_group_symop_operation_xyz
'x,y,z'
'-x,-y,-z'
'-x+1/2,-y+1/2,z'
'x+1/2,y+1/2,-z'
'x+1/2,-y,-z'
'-x+1/2,y,z'
'-x,y+1/2,-z'
'x,-y+1/2,z'
loop_
_atom_site_label
_atom_site_fract_x
_atom_site_fract_y
_atom_site_fract_z
_atom_site_occupancy
Al1 0.000 0.250 0.042 1
Al2 0.001 0.084 0.352 1
Al3 0.250 0.250 0.568 1
Al4 0.250 0.584 0.153 1
Cr1 0.250 0.078 0.859 1
Cr2 0.250 0.750 0.453 1
# **ΔE_f**: -127 meV/atom

***

Record 19
# TcTePd2Pt | the Alexandria database | GGA-PBE | relaxed
data_TcTePd2Pt
_space_group_name_H-M_alt 'P 4/m m m'
_space_group_IT_number 123
_space_group_name_Hall '-P 4 2'
_cell_length_a 4.896
_cell_length_b 4.896
_cell_length_c 4.945
_cell_angle_alpha 90.00
_cell_angle_beta 90.00
_cell_angle_gamma 90.00
loop_
_atom_site_label
_atom_site_fract_x
_atom_site_fract_y
_atom_site_fract_z
_atom_site_occupancy
Tc1 0.000 0.000 0.000 1
Te1 0.500 0.500 0.500 1
Pd1 0.000 0.500 0.500 1
Pt1 0.500 0.500 0.000 1
# **E_form (uncorrected)**: 97 kJ/mol of atoms

***

Record 20
# CeTmPuHg | the Alexandria database | GGA-PBE | relaxed
data_CeTmPuHg
_space_group_name_H-M_alt 'F -4 3 m'
_space_group_IT_number 216
_space_group_name_Hall 'F -4 2 3'
_cell_length_a 7.500
_cell_length_b 7.500
_cell_length_c 7.500
_cell_angle_alpha 90.00
_cell_angle_beta 90.00
_cell_angle_gamma 90.00
loop_
_atom_site_label
_atom_site_fract_x
_atom_site_fract_y
_atom_site_fract_z
_atom_site_occupancy
Ce1 0.000 0.000 0.000 1
Tm1 0.000 0.000 0.500 1
Pu1 0.250 0.250 0.250 1
Hg1 0.250 0.250 0.750 1
# **ΔE_f**: -34 meV/atom

***

Record 21
# KThSn2 | the Alexandria database | GGA-PBE | relaxed
data_KThSn2
_space_group_name_H-M_alt 'P 4/m m m'
_space_group_IT_number 123
_space_group_name_Hall '-P 4 2'
_cell_length_a 3.513
_cell_length_b 3.513
_cell_length_c 10.091
_cell_angle_alpha 90.00
_cell_angle_beta 90.00
_cell_angle_gamma 90.00
loop_
_atom_site_label
_atom_site_fract_x
_atom_site_fract_y
_atom_site_fract_z
_atom_site_occupancy
K1 0.000 0.000 0.000 1
Th1 0.000 0.000 0.500 1
Sn1 0.500 0.500 0.269 1
# **ΔE_f**: -325 meV/atom

***

Record 22
# Sm12Tl3Ga | the Alexandria database | GGA-PBE | relaxed
data_Sm12Tl3Ga
_space_group_name_H-M_alt 'P 4/m m m'
_space_group_IT_number 123
_space_group_name_Hall '-P 4 2'
_cell_length_a 4.905
_cell_length_b 4.905
_cell_length_c 19.644
_cell_angle_alpha 90.00
_cell_angle_beta 90.00
_cell_angle_gamma 90.00
loop_
_atom_site_label
_atom_site_fract_x
_atom_site_fract_y
_atom_site_fract_z
_atom_site_occupancy
Sm1 0.000 0.000 0.000 1
Sm2 0.000 0.000 0.246 1
Sm3 0.000 0.000 0.500 1
Sm4 0.000 0.500 0.119 1
Sm5 0.000 0.500 0.373 1
Tl1 0.500 0.500 0.247 1
Tl2 0.500 0.500 0.500 1
Ga1 0.500 0.500 0.000 1
# **ΔE_f**: -206 meV/atom

***

Record 23
# Ag3Cl | the Alexandria database | GGA-PBE | relaxed
data_Ag3Cl
_space_group_name_H-M_alt 'P m m n'
_space_group_IT_number 59
_cell_length_a 4.721
_cell_length_b 5.643
_cell_length_c 6.318
_cell_angle_alpha 90.00
_cell_angle_beta 90.00
_cell_angle_gamma 90.00
loop_
_space_group_symop_operation_xyz
'x,y,z'
'-x,-y,-z'
'-x+1/2,-y+1/2,z'
'x+1/2,y+1/2,-z'
'x+1/2,-y,-z'
'-x+1/2,y,z'
'-x,y+1/2,-z'
'x,-y+1/2,z'
loop_
_atom_site_label
_atom_site_fract_x
_atom_site_fract_y
_atom_site_fract_z
_atom_site_occupancy
Ag1 0.250 0.001 0.115 1
Ag2 0.250 0.250 0.722 1
Cl1 0.250 0.750 0.519 1
# **E_form (uncorrected)**: -4 kJ/mol of atoms

***

Record 24
# LiIn2Ge | the Alexandria database | GGA-PBE | relaxed
data_LiIn2Ge
_space_group_name_H-M_alt 'P 4/m m m'
_space_group_IT_number 123
_space_group_name_Hall '-P 4 2'
_cell_length_a 3.690
_cell_length_b 3.690
_cell_length_c 6.468
_cell_angle_alpha 90.00
_cell_angle_beta 90.00
_cell_angle_gamma 90.00
loop_
_atom_site_label
_atom_site_fract_x
_atom_site_fract_y
_atom_site_fract_z
_atom_site_occupancy
Li1 0.000 0.000 0.000 1
In1 0.500 0.500 0.250 1
Ge1 0.000 0.000 0.500 1
# **ΔE_f**: -34 meV/atom

***

no.,D(E_F) (states/eV per cell)
1,11.32
2,19.57
3,7.82
4,0.05
5,3.90
6,13.82
7,8.73
8,2.51
9,7.79
10,5.16
11,11.57
12,7.07
13,6.15
14,7.16
15,19.47
16,23.48
17,9.86
18,16.08
19,2.51
20,54.69
21,3.24
22,25.47
23,0.61
24,1.37